w) VASP calculation (GGA-PBE) on an optimized crystal structure of AsPt2Cl2.

a b c (Å): 3.864 3.864 6.986
angles (deg): 73.95 73.95 90.00
Element x y z (fractional)
1 Cl 0.250 0.750 0.500
2 As 0.000 0.000 0.000
3 Pt 0.598 0.598 0.803
4 Pt 0.402 0.402 0.197
5 Cl 0.750 0.250 0.500

Calculated values
Space group = I4/mmm (139)

---

x) VASP calculation (GGA-PBE) on an optimized crystal structure of AsPt2Cl2.

a b c (Å): 6.923 6.923 4.641
angles (deg): 90.00 90.00 90.00
Element x y z (fractional)
1 Pt 0.731 0.769 0.000
2 Cl 0.669 0.831 0.500
3 Pt 0.269 0.231 0.000
4 Pt 0.231 0.731 0.000
5 As 0.000 0.000 0.000
6 Cl 0.331 0.169 0.500
7 Cl 0.831 0.331 0.500
8 Pt 0.769 0.269 0.000
9 Cl 0.169 0.669 0.500
10 As 0.500 0.500 0.000

Calculated values
Space group = P4/mbm (127)

---

Verdict on stability: x) comes out on top.

---

w) VASP calculation (GGA-PBE) on an optimized crystal structure of AsPtS2Cl.

a b c (Å): 4.819 4.819 4.608
angles (deg): 90.00 90.00 90.00
Element x y z (fractional)
1 S 0.500 0.000 0.000
2 Pt 0.500 0.500 0.500
3 Cl 0.000 0.000 0.500
4 As 0.000 0.000 0.000
5 S 0.000 0.500 0.000

Calculated values
Space group = P4/mmm (123)

---

x) VASP calculation (GGA-PBE) on an optimized crystal structure of AsPtS2Cl.

a b c (Å): 4.715 4.715 4.745
angles (deg): 90.00 90.00 90.00
Element x y z (fractional)
1 S 0.000 0.500 0.000
2 S 0.500 0.000 0.000
3 Pt 0.000 0.000 0.000
4 As 0.500 0.500 0.500
5 Cl 0.000 0.000 0.500

Calculated values
Space group = P4/mmm (123)

---

Verdict on stability: x) comes out on top.